No. 1
Density functional theory data (PBE) for crystalline AcTbPt10 at its relaxed geometry.

Cell lengths 4.4413, 5.4543, 9.4270 Å; angles 90.00, 90.00, 90.00 degrees
With the nearest neighbours (Å) after each atom.
Fractional positions:
Ac  0.0000  0.0000  0.0000  18 Pt 3.19-3.55
Tb  0.0000  0.5000  0.5000  6 Pt 3.06-3.12
Pt  0.0000  0.0000  0.3395  6 Pt 2.69-2.73
Pt  0.0000  0.0000  0.6605  6 Pt 2.69-2.73
Pt  0.0000  0.5000  0.1759  6 Pt 2.70-2.77
Pt  0.0000  0.5000  0.8241  6 Pt 2.70-2.77
Pt  0.5000  0.0000  0.5000  8 Pt 2.69
Pt  0.5000  0.2520  0.2548  8 Pt 2.69-2.76
Pt  0.5000  0.2520  0.7452  8 Pt 2.69-2.76
Pt  0.5000  0.5000  0.0000  8 Pt 2.76-2.77
Pt  0.5000  0.7480  0.2548  8 Pt 2.69-2.76
Pt  0.5000  0.7480  0.7452  8 Pt 2.69-2.76

## Properties
ΔE_f in eV/atom: -0.73
Symmetry: Pmmm
V in Å³ per atom: 19.030
Electronic total energy in eV/atom: -6.4946

No. 2
Density functional theory data (PBE) for crystalline AcTbPt at its relaxed geometry.

Cell lengths 4.2798, 4.2798, 6.5240 Å; angles 90.00, 90.00, 120.00 degrees
With the nearest neighbours (Å) after each atom.
Fractional positions:
Ac  0.0000  0.0000  0.0000  3 Pt 3.04
Tb  0.3333  0.6667  0.4824  3 Pt 2.83
Pt  0.6667  0.3333  0.2723  3 Tb 2.83, 3 Ac 3.04

## Properties
ΔE_f in eV/atom: -0.76
Symmetry: P3m1
V in Å³ per atom: 34.497
Electronic total energy in eV/atom: -5.6877

No. 3
Density functional theory data (PBE) for crystalline AcTbPt at its relaxed geometry.

Cell lengths 7.0020, 7.0026, 7.2854 Å; angles 90.00, 90.67, 90.00 degrees
With the nearest neighbours (Å) after each atom.
Fractional positions:
Ac  0.2495  0.0000  0.3821  1 Pt 2.99
Ac  0.2505  0.5000  0.6179  1 Pt 2.99
Ac  0.7495  0.5000  0.3821  1 Pt 2.99
Ac  0.7505  0.0000  0.6179  1 Pt 2.99
Tb  0.0000  0.2510  0.0000  4 Pt 2.89-2.90
Tb  0.0000  0.7490  0.0000  4 Pt 2.89-2.90
Tb  0.5000  0.2490  0.0000  4 Pt 2.89-2.90
Tb  0.5000  0.7510  0.0000  4 Pt 2.89-2.90
Pt  0.2452  0.0000  0.7930  4 Tb 2.89-2.90, 1 Ac 2.99
Pt  0.2548  0.5000  0.2070  4 Tb 2.89-2.90, 1 Ac 2.99
Pt  0.7452  0.5000  0.7930  4 Tb 2.89-2.90, 1 Ac 2.99
Pt  0.7548  0.0000  0.2070  4 Tb 2.89-2.90, 1 Ac 2.99

## Properties
ΔE_f in eV/atom: -0.85
Symmetry: C2/m
V in Å³ per atom: 29.766
Electronic total energy in eV/atom: -5.7743